[1]
Material: ZrSiAg2
Method: DFT, PBE-GGA
State: relaxed

Lattice parameters (Å, degrees): 8.6283 3.0084 5.8302 90.00 99.29 90.00
Space group Cm (No. 8)
Inequivalent atoms, fractional coordinates:
1 Zr 0.0000 0.0000 0.0000 (multiplicity 2)
2 Si 0.2532 0.0000 0.7577 (multiplicity 2)
3 Ag 0.0114 0.5000 0.5310 (multiplicity 2)
4 Ag 0.2587 0.5000 0.2855 (multiplicity 2)

Computed properties:
ρ in g cm⁻³: 7.45
Raw total energy in eV/atom: -4.871
D(E_F) in states/eV/cell: 3.0
Crystal system: monoclinic
Magnetization in μB/atom: 0.000

=====

[2]
Material: La8Ge3Cl4
Method: DFT, PBE-GGA
State: relaxed

Lattice parameters (Å, degrees): 8.6029 8.6029 22.7786 90.00 90.00 120.00
Space group R-3m (No. 166, hexagonal axes)
Inequivalent atoms, fractional coordinates:
1 La 0.0000 0.0000 0.2392 (multiplicity 6)
2 La 0.0120 0.5060 0.7586 (multiplicity 18)
3 Ge 0.0000 0.5000 0.5000 (multiplicity 9)
4 Cl 0.0000 0.0000 0.0000 (multiplicity 3)
5 Cl 0.0000 0.0000 0.3616 (multiplicity 6)
6 Cl 0.0000 0.0000 0.5000 (multiplicity 3)

Computed properties:
ρ in g cm⁻³: 5.02
Raw total energy in eV/atom: -5.200
D(E_F) in states/eV/cell: 33.7
Crystal system: trigonal
Magnetization in μB/atom: 0.000

=====

[3]
Material: Mg2Bi
Method: DFT, PBE-GGA
State: relaxed

Lattice parameters (Å, degrees): 14.8691 4.5085 4.6290 90.00 90.12 90.00
Space group C2/m (No. 12)
Inequivalent atoms, fractional coordinates:
1 Mg 0.0797 0.0000 0.2520 (multiplicity 4)
2 Mg 0.2483 0.5000 0.2510 (multiplicity 4)
3 Bi 0.1071 0.5000 0.7524 (multiplicity 4)

Computed properties:
ρ in g cm⁻³: 5.51
D(E_F) in states/eV/cell: 3.7
Crystal system: monoclinic
Formation energy in kJ per mole of atoms: -12.5
Magnetization in μB/atom: 0.000

=====

[4]
Material: Ce2CuNi3Ge4
Method: DFT, PBE-GGA
State: relaxed

Lattice parameters (Å, degrees): 4.1640 4.1640 9.6545 90.00 90.00 90.00
Space group P-4m2 (No. 115)
Inequivalent atoms, fractional coordinates:
1 Ce 0.0000 0.5000 0.2488 (multiplicity 2)
2 Cu 0.5000 0.5000 0.0000 (multiplicity 1)
3 Ni 0.0000 0.0000 0.0000 (multiplicity 1)
4 Ni 0.0000 0.5000 0.6230 (multiplicity 2)
5 Ge 0.0000 0.0000 0.5000 (multiplicity 1)
6 Ge 0.0000 0.5000 0.8666 (multiplicity 2)
7 Ge 0.5000 0.5000 0.5000 (multiplicity 1)

Computed properties:
ρ in g cm⁻³: 8.04
D(E_F) in states/eV/cell: 7.9
Crystal system: tetragonal
Formation energy in kJ per mole of atoms: -63.3
Magnetization in μB/atom: 0.000

=====

[5]
Material: BTeIN2
Method: DFT, PBE-GGA
State: relaxed

Lattice parameters (Å, degrees): 3.9904 3.9904 4.6502 90.00 90.00 90.00
Space group P4/mmm (No. 123)
Inequivalent atoms, fractional coordinates:
1 B 0.0000 0.0000 0.0000 (multiplicity 1)
2 Te 0.5000 0.5000 0.5000 (multiplicity 1)
3 I 0.0000 0.0000 0.5000 (multiplicity 1)
4 N 0.0000 0.5000 0.0000 (multiplicity 2)

Computed properties:
E above lowest polymorph in meV per atom: 122
ρ in g cm⁻³: 6.58
D(E_F) in states/eV/cell: 2.1
Crystal system: tetragonal
Magnetization in μB/atom: 0.148

=====

[6]
Material: YHg2Sb
Method: DFT, PBE-GGA
State: relaxed

Lattice parameters (Å, degrees): 4.0107 4.0667 6.3218 90.00 90.00 90.00
Space group Pmmm (No. 47)
Inequivalent atoms, fractional coordinates:
1 Y 0.0000 0.0000 0.0000 (multiplicity 1)
2 Hg 0.5000 0.5000 0.2533 (multiplicity 2)
3 Sb 0.0000 0.0000 0.5000 (multiplicity 1)

Computed properties:
ρ in g cm⁻³: 9.85
Raw total energy in eV/atom: -3.061
D(E_F) in states/eV/cell: 4.3
Crystal system: orthorhombic
Magnetization in μB/atom: 0.000

=====

[7]
Material: ErCdAu2
Method: DFT, PBE-GGA
State: relaxed

Lattice parameters (Å, degrees): 6.9432 6.9432 6.9432 90.00 90.00 90.00
Space group Fm-3m (No. 225)
Inequivalent atoms, fractional coordinates:
1 Er 0.0000 0.0000 0.0000 (multiplicity 4)
2 Cd 0.0000 0.0000 0.5000 (multiplicity 4)
3 Au 0.2500 0.2500 0.2500 (multiplicity 8)

Computed properties:
ρ in g cm⁻³: 13.37
D(E_F) in states/eV/cell: 7.9
Crystal system: cubic
Formation energy in kJ per mole of atoms: -65.0
Magnetization in μB/atom: 0.000

=====

[8]
Material: K3Hg
Method: DFT, PBE-GGA
State: relaxed

Lattice parameters (Å, degrees): 8.7387 13.3991 7.7610 90.00 95.15 90.00
Space group C2/m (No. 12)
Inequivalent atoms, fractional coordinates:
1 K 0.1458 0.1750 0.2676 (multiplicity 8)
2 K 0.2013 0.5000 0.1768 (multiplicity 4)
3 Hg 0.0000 0.3878 0.5000 (multiplicity 4)

Computed properties:
ρ in g cm⁻³: 2.33
D(E_F) in states/eV/cell: 13.0
Crystal system: monoclinic
Formation energy in kJ per mole of atoms: -9.7
Magnetization in μB/atom: 0.000

=====

[9]
Material: RbBeWCl2
Method: DFT, PBE-GGA
State: relaxed

Lattice parameters (Å, degrees): 4.6918 4.6918 7.4458 90.00 90.00 90.00
Space group P4/mmm (No. 123)
Inequivalent atoms, fractional coordinates:
1 Rb 0.0000 0.0000 0.0000 (multiplicity 1)
2 Be 0.5000 0.5000 0.0000 (multiplicity 1)
3 W 0.0000 0.0000 0.5000 (multiplicity 1)
4 Cl 0.0000 0.5000 0.5000 (multiplicity 2)

Computed properties:
ρ in g cm⁻³: 3.54
Raw total energy in eV/atom: -3.441
D(E_F) in states/eV/cell: 3.5
Crystal system: tetragonal
Magnetization in μB/atom: 0.000

=====

[10]
Material: KPuCd2
Method: DFT, PBE-GGA
State: relaxed

Lattice parameters (Å, degrees): 3.4330 3.4330 10.0992 90.00 90.00 90.00
Space group P4/mmm (No. 123)
Inequivalent atoms, fractional coordinates:
1 K 0.0000 0.0000 0.0000 (multiplicity 1)
2 Pu 0.0000 0.0000 0.5000 (multiplicity 1)
3 Cd 0.5000 0.5000 0.2775 (multiplicity 2)

Computed properties:
ρ in g cm⁻³: 7.09
D(E_F) in states/eV/cell: 7.4
Crystal system: tetragonal
Formation energy in kJ per mole of atoms: 6.8
Magnetization in μB/atom: 1.448

=====

[11]
Material: YHoLu2
Method: DFT, PBE-GGA
State: relaxed

Lattice parameters (Å, degrees): 7.9152 7.9152 7.9152 90.00 90.00 90.00
Space group Fm-3m (No. 225)
Inequivalent atoms, fractional coordinates:
1 Y 0.0000 0.0000 0.0000 (multiplicity 4)
2 Ho 0.0000 0.0000 0.5000 (multiplicity 4)
3 Lu 0.2500 0.2500 0.2500 (multiplicity 8)

Computed properties:
E above lowest polymorph in meV per atom: 91
ρ in g cm⁻³: 8.09
D(E_F) in states/eV/cell: 35.2
Crystal system: cubic
Formation energy in kJ per mole of atoms: 11.9
Magnetization in μB/atom: 0.000

=====

[12]
Material: KLiTeI2
Method: DFT, PBE-GGA
State: relaxed

Lattice parameters (Å, degrees): 6.5973 6.5973 6.3932 90.00 90.00 90.00
Space group P4/mmm (No. 123)
Inequivalent atoms, fractional coordinates:
1 K 0.0000 0.0000 0.0000 (multiplicity 1)
2 Li 0.5000 0.5000 0.5000 (multiplicity 1)
3 Te 0.0000 0.0000 0.5000 (multiplicity 1)
4 I 0.0000 0.5000 0.0000 (multiplicity 2)

Computed properties:
E above lowest polymorph in meV per atom: 486
ρ in g cm⁻³: 2.55
D(E_F) in states/eV/cell: 4.8
Crystal system: tetragonal
Magnetization in μB/atom: 0.409